A geometry-optimized Al2GeAu8 structure. Source: Alexandria via LeMat-Bulk, functional PBE.

Cell and atoms, written as extended XYZ:
```
11
Lattice="3.812 0.000 -1.096 -0.651 6.056 -2.264 0.281 0.711 8.154" Properties=species:S:1:pos:R:3 pbc="T T T"
Al 0.473 4.343 1.646
Al 2.969 2.425 3.149
Ge 1.906 0.000 -0.548
Au 2.009 2.886 -0.191
Au 1.367 0.884 4.756
Au 0.579 1.789 2.012
Au -0.295 4.585 -1.027
Au 2.863 4.979 2.782
Au 2.075 5.883 0.038
Au 1.433 3.882 4.986
Au 3.737 2.183 5.822
```

Calculated values
* space group: C2/m (12)
* DOS at the Fermi energy: 2.85 states/eV/cell
* electronic total energy: -39.95 eV per cell
* formation energy from the elements: -0.148 eV per atom